Compound: KPr2Mn2N6
Source: Alexandria via LeMat-Bulk
Functional: PBE
Structure: optimized geometry

Cell lengths 6.1029, 6.3341, 6.6380 Å; angles 94.05, 117.26, 113.99 degrees
With the nearest neighbours (Å) after each atom.
Fractional coordinates of all 11 atoms:
1 K 0.0000 0.0000 0.0000  4 N 2.70-2.89
2 Pr 0.4031 0.2939 0.6903  6 N 2.41-2.64
3 Pr 0.5969 0.7061 0.3097  6 N 2.41-2.64
4 Mn 0.2077 0.6699 0.6733  3 N 1.67-1.68
5 Mn 0.7923 0.3301 0.3267  3 N 1.67-1.68
6 N 0.1202 0.8887 0.6773  1 Mn 1.68
7 N 0.2359 0.5242 0.8767  1 Mn 1.67
8 N 0.4339 0.6910 0.5887  1 Mn 1.68
9 N 0.5661 0.3090 0.4113  1 Mn 1.68
10 N 0.7641 0.4758 0.1233  1 Mn 1.67
11 N 0.8798 0.1113 0.3227  1 Mn 1.68

Values from the calculation:
Energy relative to the elements, uncorrected ... -0.468 eV/atom
Crystal system ... triclinic

***

Compound: KPuMnN3
Source: Alexandria via LeMat-Bulk
Functional: PBE
Structure: optimized geometry

Cell lengths 6.8230, 6.8230, 7.5185 Å; angles 103.40, 103.40, 30.86 degrees
With the nearest neighbours (Å) after each atom.
Fractional coordinates of all 12 atoms:
1 K 0.1366 0.1366 0.0637  7 N 2.85-3.06
2 K 0.8634 0.8634 0.9363  7 N 2.85-3.06
3 Pu 0.1559 0.1559 0.5814  7 N 2.25-2.42
4 Pu 0.8441 0.8441 0.4186  7 N 2.25-2.42
5 Mn 0.4950 0.4950 0.6559  3 N 1.82-1.95
6 Mn 0.5050 0.5050 0.3441  3 N 1.82-1.95
7 N 0.0069 0.0069 0.3218  2 Mn 1.82
8 N 0.3344 0.3344 0.6029  1 Mn 2.05
9 N 0.3532 0.3532 0.2469  1 Mn 1.95
10 N 0.6468 0.6468 0.7531  1 Mn 1.95
11 N 0.6656 0.6656 0.3971  1 Mn 2.05
12 N 0.9931 0.9931 0.6782  2 Mn 1.82

Values from the calculation:
Energy relative to the elements, uncorrected ... -0.538 eV/atom
Crystal system ... monoclinic

***

Compound: KRbMnN2
Source: Alexandria via LeMat-Bulk
Functional: PBE
Structure: optimized geometry

Cell lengths 3.9493, 3.9493, 5.0933 Å; angles 90.00, 90.00, 90.00 degrees
With the nearest neighbours (Å) after each atom.
Fractional coordinates of all 5 atoms:
1 K 0.0000 0.0000 0.0000  4 Rb 2.79
2 Rb 0.5000 0.5000 0.0000  2 Mn 2.55, 4 K 2.79
3 Mn 0.5000 0.5000 0.5000  4 N 1.97
4 N 0.0000 0.5000 0.5000  2 Mn 1.97
5 N 0.5000 0.0000 0.5000  2 Mn 1.97

Values from the calculation:
Energy relative to the elements, uncorrected ... 0.987 eV/atom
Crystal system ... tetragonal

***

| no. | total magnetization (μB/f.u.) |
| --- | --- |
| 1 | 1.0 |
| 2 | 3.7 |
| 3 | 0.6 |